First-principles (PBE-GGA) data for a geometry-optimized TbAlAsO structure, as listed in OQMD.

Computed properties:
Volume: 17.920 Å³/atom
ΔE to the lowest computed polymorph: 0.000 eV per atom
Magnetic moment: 0.00 μB per atom
Total DFT energy (no corrections): -6.17 eV/atom
Space-group type: P4/nmm (129)

Cell lengths 4.0461, 4.0461, 8.7568 Å; angles 90.00, 90.00, 90.00 degrees
Fractional coordinates of all 8 atoms:
Tb (0.2500, 0.2500, 0.1194)
Tb (0.7500, 0.7500, 0.8806)
Al (0.2500, 0.7500, 0.5000)
Al (0.7500, 0.2500, 0.5000)
As (0.2500, 0.2500, 0.6781)
As (0.7500, 0.7500, 0.3219)
O (0.2500, 0.7500, 0.0000)
O (0.7500, 0.2500, 0.0000)

***

First-principles (PBE-GGA) data for a geometry-optimized DyY2Cd3AgHg2 structure, as listed in OQMD.

Computed properties:
Energy relative to the elements: -0.41 eV per atom
Volume: 24.006 Å³/atom
Magnetic moment: 0.00 μB per atom
Total DFT energy (no corrections): -3.04 eV/atom
Space-group type: Amm2 (38)

Cell lengths 4.0338, 7.8643, 7.8643 Å; angles 120.00, 90.00, 90.00 degrees
Fractional coordinates of all 9 atoms:
Dy (0.0000, 0.0000, 0.0000)
Y (0.0000, 0.4056, 0.8114)
Y (0.0000, 0.8114, 0.4056)
Cd (0.5000, 0.1508, 0.4058)
Cd (0.5000, 0.4058, 0.1508)
Cd (0.5000, 0.6603, 0.6603)
Ag (0.0000, 0.4049, 0.4049)
Hg (0.5000, 0.0721, 0.7397)
Hg (0.5000, 0.7397, 0.0721)

***

First-principles (PBE-GGA) data for a geometry-optimized Cu6PtAu structure, as listed in OQMD.

Computed properties:
Energy relative to the elements: -0.10 eV per atom
Volume: 13.083 Å³/atom
Magnetic moment: 0.00 μB per atom
Total DFT energy (no corrections): -4.05 eV/atom
Space-group type: P4/mmm (123)

Cell lengths 3.7566, 3.7566, 7.4164 Å; angles 90.00, 90.00, 90.00 degrees
Fractional coordinates of all 8 atoms:
Cu (0.0000, 0.0000, 0.0000)
Cu (0.0000, 0.0000, 0.5000)
Cu (0.0000, 0.5000, 0.2452)
Cu (0.0000, 0.5000, 0.7548)
Cu (0.5000, 0.0000, 0.2452)
Cu (0.5000, 0.0000, 0.7548)
Pt (0.5000, 0.5000, 0.0000)
Au (0.5000, 0.5000, 0.5000)

***

First-principles (PBE-GGA) data for a geometry-optimized LaNbGa structure, as listed in OQMD.

Computed properties:
Volume: 28.687 Å³/atom
ΔE to the lowest computed polymorph: 0.471 eV per atom
Magnetic moment: 0.99 μB per atom
Total DFT energy (no corrections): -5.05 eV/atom
Space-group type: F-43m (216)

Cell lengths 4.9557, 4.9557, 4.9557 Å; angles 60.00, 60.00, 60.00 degrees
Fractional coordinates of all 3 atoms:
La (0.0000, 0.0000, 0.0000)
Nb (0.2500, 0.2500, 0.2500)
Ga (0.7500, 0.7500, 0.7500)

***

First-principles (PBE-GGA) data for a geometry-optimized SrErAgTe3 structure, as listed in OQMD.

Computed properties:
Volume: 31.138 Å³/atom
Magnetic moment: 0.00 μB per atom
Total DFT energy (no corrections): -4.28 eV/atom
Space-group type: P2_1/m (11)

Cell lengths 8.4588, 4.3444, 10.6046 Å; angles 90.00, 106.50, 90.00 degrees
Fractional coordinates of all 12 atoms:
Sr (0.2392, 0.2500, 0.2899)
Sr (0.7608, 0.7500, 0.7101)
Er (0.3115, 0.7500, 0.8349)
Er (0.6885, 0.2500, 0.1651)
Ag (0.0837, 0.2500, 0.5916)
Ag (0.9163, 0.7500, 0.4084)
Te (0.0651, 0.2500, 0.8518)
Te (0.2831, 0.7500, 0.5407)
Te (0.4247, 0.7500, 0.1381)
Te (0.5753, 0.2500, 0.8619)
Te (0.7169, 0.2500, 0.4593)
Te (0.9349, 0.7500, 0.1482)

***

First-principles (PBE-GGA) data for a geometry-optimized RbMgFeRe structure, as listed in OQMD.

Computed properties:
Volume: 21.809 Å³/atom
ΔE to the lowest computed polymorph: 0.287 eV per atom
Magnetic moment: 1.43 μB per atom
Total DFT energy (no corrections): -3.95 eV/atom
Space-group type: F-43m (216)

Cell lengths 4.9782, 4.9782, 4.9782 Å; angles 60.00, 60.00, 60.00 degrees
Fractional coordinates of all 4 atoms:
Rb (0.0000, 0.0000, 0.0000)
Mg (0.5000, 0.5000, 0.5000)
Fe (0.7500, 0.7500, 0.7500)
Re (0.2500, 0.2500, 0.2500)